1.
Here is an optimized crystal structure of CaMn2Br from the Alexandria database. Energies are from GGA-PBEsol.

Output
SG: Pmmm (47)
ρ in g cm⁻³: 4.44
Polymorph energy (0 for the lowest one) in meV per atom: 149

Cell: 3.3448 4.4997 5.7152 Å, 90.00 90.00 90.00°
Element x y z (fractional)
Ca: 0.0000 0.5000 0.5000
Mn: 0.5000 0.5000 0.0000
Mn: 0.0000 0.0000 0.0000
Br: 0.5000 0.0000 0.5000


2.
Here is an optimized crystal structure of CaMn2Br from the Alexandria database. Energies are from GGA-PBEsol.

Output
SG: Pmmm (47)
ρ in g cm⁻³: 4.49
Polymorph energy (0 for the lowest one) in meV per atom: 333

Cell: 3.6503 4.1686 5.5849 Å, 90.00 90.00 90.00°
Element x y z (fractional)
Mn: 0.0000 0.0000 0.7430
Br: 0.5000 0.5000 0.0000
Ca: 0.5000 0.5000 0.5000
Mn: 0.0000 0.0000 0.2570


3.
Here is an optimized crystal structure of CaMnBr2 from the Alexandria database. Energies are from GGA-PBEsol.

Output
SG: I4/mmm (139)
ρ in g cm⁻³: 4.59
Polymorph energy (0 for the lowest one) in meV per atom: 0

Cell: 5.0721 5.0681 5.0721 Å, 59.97 90.00 120.03°
Element x y z (fractional)
Mn: 0.0000 0.0000 0.0000
Br: 0.2500 0.5000 0.2500
Br: 0.7500 0.5000 0.7500
Ca: 0.5000 0.0000 0.5000


4.
Here is an optimized crystal structure of Ca2MnRuBr from the Alexandria database. Energies are from GGA-PBEsol.

Output
SG: P4/mmm (123)
E in eV/atom: -4.6526
ρ in g cm⁻³: 4.04

Cell: 4.5759 5.3282 5.3282 Å, 90.00 90.00 90.00°
Element x y z (fractional)
Ca: 0.0000 0.0000 0.5000
Mn: 0.5000 0.5000 0.5000
Br: 0.0000 0.0000 0.0000
Ru: 0.5000 0.0000 0.0000
Ca: 0.0000 0.5000 0.0000


5.
Here is an optimized crystal structure of CaMoBr2 from the Alexandria database. Energies are from GGA-PBEsol.

Output
SG: P4mm (99)
ρ in g cm⁻³: 5.27
Polymorph energy (0 for the lowest one) in meV per atom: 0

Cell: 3.3274 3.3274 8.4200 Å, 90.00 90.00 90.00°
Element x y z (fractional)
Br: 0.0000 0.0000 0.9159
Ca: 0.0000 0.0000 0.5007
Br: 0.5000 0.5000 0.2979
Mo: 0.5000 0.5000 0.7855


6.
Here is an optimized crystal structure of CaMoBr2 from the Alexandria database. Energies are from GGA-PBEsol.

Output
SG: R-3m (166)
ρ in g cm⁻³: 5.05
Polymorph energy (0 for the lowest one) in meV per atom: 365

Cell: 3.4389 3.4389 9.7041 Å, 79.79 79.79 60.00°
Element x y z (fractional)
Mo: 0.5000 0.5000 0.5000
Ca: 0.0000 0.0000 0.0000
Br: 0.1066 0.1066 0.6802
Br: 0.8934 0.8934 0.3198


7.
Here is an optimized crystal structure of CaMoBr2 from the Alexandria database. Energies are from GGA-PBEsol.

Output
SG: Immm (71)
ρ in g cm⁻³: 4.70
Polymorph energy (0 for the lowest one) in meV per atom: 94

Cell: 3.4409 4.9357 6.8505 Å, 111.12 104.55 90.00°
Element x y z (fractional)
Br: 0.6538 0.6538 0.3076
Ca: 0.5000 0.0000 0.0000
Mo: 0.0000 0.5000 0.0000
Br: 0.3462 0.3462 0.6924


8.
Here is an optimized crystal structure of Ca2MoBr from the Alexandria database. Energies are from GGA-PBEsol.

Output
SG: P4mm (99)
E in eV/atom: -4.1339
ρ in g cm⁻³: 3.92

Cell: 4.1976 4.1976 6.1576 Å, 90.00 90.00 90.00°
Element x y z (fractional)
Mo: 0.0000 0.0000 0.4116
Br: 0.5000 0.5000 0.8365
Ca: 0.0000 0.0000 0.9252
Ca: 0.5000 0.5000 0.3267